VASP calculation (GGA-PBE) on an optimized crystal structure of LaPm8Pr6.

Values from the calculation:
For the energy above the most stable polymorph in this dataset, the calculation gives 0.005 eV per atom. Its formation energy is 0.141 eV/atom. The value obtained for the spin magnetization is 0.00 μB per formula unit.

abc: 9.516 9.516 8.773
angles: 57.16 57.16 60.00
Fractional coordinates of all 15 atoms:
Pr 0.444 0.894 0.928
Pr 0.734 0.444 0.928
Pr 0.556 0.106 0.072
Pr 0.266 0.556 0.072
Pr 0.894 0.734 0.928
Pr 0.106 0.266 0.072
Pm 0.429 0.429 0.713
Pm 0.083 0.653 0.492
Pm 0.347 0.228 0.508
Pm 0.653 0.772 0.492
Pm 0.228 0.917 0.508
Pm 0.571 0.571 0.287
Pm 0.917 0.347 0.508
Pm 0.772 0.083 0.492
La 0.000 0.000 0.000

VASP calculation (GGA-PBE) on an optimized crystal structure of AlVCoSb2.

Values from the calculation:
The calculation puts the energy relative to the elements, uncorrected at 3.52 eV per formula unit. The value obtained for the spin magnetization is 0.17 μB per formula unit.

abc: 4.928 4.329 4.928
angles: 90.00 90.00 90.00
Site moments in Bohr magnetons follow the coordinates.
Fractional coordinates of all 5 atoms:
Co 0.000 0.000 0.000  0.19
Sb 0.000 0.000 0.500  0.02
Sb 0.500 0.000 0.000  0.02
V 0.500 0.500 0.500  -0.10
Al 0.000 0.500 0.000  -0.01

VASP calculation (GGA-PBE) on an optimized crystal structure of Sc6TlSn.

Values from the calculation:
For the energy above the most stable polymorph in this dataset, the calculation gives 0.000 eV per atom. Its formation energy is -0.320 eV/atom. The value obtained for the spin magnetization is 3.87 μB per formula unit.

abc: 4.515 4.515 9.044
angles: 90.00 90.00 90.00
Site moments in Bohr magnetons follow the coordinates.
Fractional coordinates of all 8 atoms:
Sc 0.500 0.000 0.749  0.43
Sc 0.500 0.500 0.500  0.47
Sc 0.500 0.000 0.251  0.43
Sc 0.000 0.500 0.251  0.43
Sc 0.000 0.500 0.749  0.43
Sc 0.500 0.500 0.000  0.40
Tl 0.000 0.000 0.000  -0.02
Sn 0.000 0.000 0.500  -0.03

VASP calculation (GGA-PBE) on an optimized crystal structure of NbTl2Rh2.

Values from the calculation:
For the energy above the most stable polymorph in this dataset, the calculation gives 0.000 eV per atom. Its formation energy is 0.333 eV/atom. The value obtained for the spin magnetization is 0.53 μB per formula unit.

abc: 7.861 7.861 3.037
angles: 90.00 90.00 90.00
Site moments in Bohr magnetons follow the coordinates.
Fractional coordinates of all 10 atoms:
Rh 0.665 0.835 0.500  0.06
Rh 0.165 0.665 0.500  0.07
Rh 0.335 0.165 0.500  0.06
Rh 0.835 0.335 0.500  0.07
Tl 0.364 0.864 0.000  0.01
Tl 0.636 0.136 0.000  0.01
Tl 0.136 0.364 0.000  0.01
Tl 0.864 0.636 0.000  0.01
Nb 0.500 0.500 0.000  0.32
Nb 0.000 0.000 0.000  0.32

> Which formula does entry 2 have?

AlVCoSb2

> What is the spin magnetization in the second record?

0.17 μB per formula unit

> Among the records above, which one has the highest spin magnetization?

Sc6TlSn